Density functional theory data (PBE) for a relaxed YPN crystal.

The value obtained for the final energy is -7.655 eV per atom. The energy relative to the elements, uncorrected is -267 kJ/mol of formula units.

It has space group I4/mmm (No. 139), with a = 3.503 Å, b = 3.503 Å, c = 16.939 Å, α = 90.00°, β = 90.00° and γ = 90.00°. The asymmetric unit holds Y at (0.000, 0.000, 0.173), P at (0.000, 0.000, 0.416) and N at (0.000, 0.000, 0.312).